[1]
The following is a GGA-PBE calculation of a relaxed ReRu3 crystal, from Alexandria.

Calculated values
- space-group type = No. 166
- ρ (g/cm3) = 14.3

```
4
Lattice="2.724 0.000 0.000 1.362 2.359 0.000 1.362 0.786 8.855" Properties=species:S:1:pos:R:3 pbc="T T T"
Ru 1.362 0.786 2.220
Ru 4.086 2.359 6.635
Ru 2.724 1.573 4.428
Re 0.000 0.000 0.000
```

---

[2]
The following is a GGA-PBE calculation of a relaxed SmPt12 crystal, from Alexandria.

Calculated values
- space-group type = No. 139
- ρ (g/cm3) = 18.5

```
13
Lattice="5.417 0.000 0.000 2.709 6.424 0.000 2.709 0.000 6.424" Properties=species:S:1:pos:R:3 pbc="T T T"
Pt 1.354 3.212 0.000
Pt 4.063 3.212 0.000
Pt 5.417 4.206 4.206
Pt 5.417 1.392 5.032
Pt 1.354 0.000 3.212
Pt 8.126 5.032 5.032
Pt 2.709 1.392 1.392
Pt 5.417 5.032 1.392
Pt 5.417 2.218 2.218
Pt 4.063 0.000 3.212
Pt 2.709 2.218 4.206
Pt 2.709 4.206 2.218
Sm 0.000 0.000 0.000
```

---

[3]
The following is a GGA-PBE calculation of a relaxed Zr6MoIr5 crystal, from Alexandria.

Calculated values
- space-group type = No. 10
- ρ (g/cm3) = 12.3

```
12
Lattice="-3.237 0.417 -3.332 -1.194 -6.549 0.337 -3.245 0.930 6.556" Properties=species:S:1:pos:R:3 pbc="T T T"
Zr -5.760 -3.933 1.850
Zr -5.163 -0.504 4.974
Zr -1.917 -1.269 1.710
Zr -2.513 -4.697 -1.413
Zr -5.166 -0.678 1.682
Zr -2.510 -4.524 1.878
Mo 0.000 0.000 0.000
Ir -0.597 -3.275 0.168
Ir -3.845 -2.684 0.147
Ir -4.434 -5.790 3.593
Ir -3.831 -2.517 3.413
Ir -3.243 0.589 -0.033
```

---

[4]
The following is a GGA-PBE calculation of a relaxed PuVMo2 crystal, from Alexandria.

Calculated values
- space-group type = No. 123
- ρ (g/cm3) = 12.1

```
4
Lattice="-2.801 -0.978 -1.174 -0.237 -2.143 2.351 -3.104 4.425 3.720" Properties=species:S:1:pos:R:3 pbc="T T T"
Mo -0.713 1.016 0.854
Mo -2.391 3.409 2.866
V -1.519 -1.560 0.589
Pu -3.071 0.652 2.449
```

---

In order of appearance, magnetic moment = 0.0000; 0.0000; 0.0000; 1.0248 μB per atom.
In order of appearance, total energy = -9.984; -6.198; -9.589; -11.072 eV per atom.